# YTmGeIr, optimized geometry, DFT PBE-GGA
# relative energy among the computed polymorphs = 0.163 eV/atom
# D(E_F) = 0.682 states/eV/atom
# E_form = -2.85 eV/f.u.
# M_tot = 0.00 Bohr magnetons per cell
data_YTmGeIr
_cell_length_a 6.9724
_cell_length_b 6.9724
_cell_length_c 6.9724
_cell_angle_alpha 90.00
_cell_angle_beta 90.00
_cell_angle_gamma 90.00
_symmetry_space_group_name_H-M 'F -4 3 m'
_symmetry_Int_Tables_number 216
_symmetry_space_group_name_Hall 'F -4 2 3'
loop_
_atom_site_label
_atom_site_type_symbol
_atom_site_fract_x
_atom_site_fract_y
_atom_site_fract_z
Y1 Y 0.0000 0.0000 0.0000
Tm1 Tm 0.0000 0.0000 0.5000
Ge1 Ge 0.2500 0.2500 0.2500
Ir1 Ir 0.2500 0.2500 0.7500


# Pm2DyEr4, optimized geometry, DFT PBE-GGA
# relative energy among the computed polymorphs = 0.016 eV/atom
# D(E_F) = 1.641 states/eV/atom
# E_form = 0.60 eV/f.u.
# M_tot = 0.00 Bohr magnetons per cell
data_Pm2DyEr4
_cell_length_a 3.5037
_cell_length_b 8.5643
_cell_length_c 8.5691
_cell_angle_alpha 61.92
_cell_angle_beta 88.00
_cell_angle_gamma 80.88
_symmetry_space_group_name_H-M 'P -1'
_symmetry_Int_Tables_number 2
_symmetry_space_group_name_Hall '-P 1'
loop_
_atom_site_label
_atom_site_type_symbol
_atom_site_fract_x
_atom_site_fract_y
_atom_site_fract_z
Pm1 Pm 0.0834 0.2780 0.1315
Dy1 Dy 0.5000 0.0000 0.0000
Er1 Er 0.1303 0.1522 0.5799
Er2 Er 0.4606 0.5503 0.2834


# CaPrTmMg, optimized geometry, DFT PBE-GGA
# relative energy among the computed polymorphs = 0.000 eV/atom
# D(E_F) = 1.471 states/eV/atom
# E_form = -0.05 eV/f.u.
# M_tot = 0.00 Bohr magnetons per cell
data_CaPrTmMg
_cell_length_a 3.6488
_cell_length_b 3.6488
_cell_length_c 9.7080
_cell_angle_alpha 90.00
_cell_angle_beta 90.00
_cell_angle_gamma 90.00
_symmetry_space_group_name_H-M 'P 4 m m'
_symmetry_Int_Tables_number 99
_symmetry_space_group_name_Hall 'P 4 -2'
loop_
_atom_site_label
_atom_site_type_symbol
_atom_site_fract_x
_atom_site_fract_y
_atom_site_fract_z
Ca1 Ca 0.0000 0.0000 0.0000
Pr1 Pr 0.5000 0.5000 0.6996
Tm1 Tm 0.0000 0.0000 0.4502
Mg1 Mg 0.5000 0.5000 0.2379


What is the M_tot in the second record?
0.00 Bohr magnetons per cell


Among the records above, which one has the highest D(E_F)?
Pm2DyEr4